# NaAc2Sm PBE optimized geometry
# M_tot = 0.000 μB per atom
# Theoretical density = 6.3 g cm⁻³
# Energy relative to the lowest polymorph listed for this composition = 0.00 eV/f.u.
data_NaAc2Sm
_chemical_formula_sum 'Na3 Ac6 Sm3'
_space_group_name_H-M_alt 'R 3 m'
_space_group_IT_number 160
_space_group_name_Hall 'R 3 -2"'
_cell_length_a 3.8804
_cell_length_b 3.8804
_cell_length_c 37.9334
_cell_angle_alpha 90.00
_cell_angle_beta 90.00
_cell_angle_gamma 120.00
loop_
_atom_site_label
_atom_site_type_symbol
_atom_site_fract_x
_atom_site_fract_y
_atom_site_fract_z
Na1 Na 0.0000 0.0000 0.0000
Ac1 Ac 0.0000 0.0000 0.4207
Ac2 Ac 0.0000 0.0000 0.5790
Sm1 Sm 0.0000 0.0000 0.8331